This record from Alexandria describes an optimized crystal structure of Pu2Mg2Bi3. The functional is PBE.

Properties
As for the calculated formation energy: -0.279 eV per atom.

a = 4.6998 Å, b = 8.5191 Å, c = 11.1696 Å
α = 81.33°, β = 77.86°, γ = 73.99°
Site moments in Bohr magnetons follow the coordinates.
Sites, in units of the cell vectors:
Pu 0.2592 0.1458 0.3358  5.46
Pu 0.7408 0.8542 0.6642  5.46
Pu 0.4289 0.2032 0.9391  -5.57
Pu 0.5711 0.7968 0.0609  -5.57
Mg 0.0479 0.2183 0.6859  0.00
Mg 0.9521 0.7817 0.3141  0.00
Mg 0.3999 0.5161 0.6840  0.00
Mg 0.6001 0.4839 0.3160  0.00
Bi 0.1172 0.9115 0.8540  0.02
Bi 0.8828 0.0885 0.1460  0.02
Bi 0.1721 0.5057 0.1502  0.02
Bi 0.8279 0.4943 0.8498  0.02
Bi 0.3760 0.7746 0.4734  -0.04
Bi 0.6240 0.2254 0.5266  -0.04